Compound: NaLiCdGe
Source: Alexandria via LeMat-Bulk
Functional: PBE
Structure: relaxed

Structure (POSCAR):
```
NaLiCdGe
1.0
-0.6341 2.7808 -3.8504
-4.3421 0.3829 -1.9899
-2.4574 4.0958 0.3812
Na Cd Ge Li
1 1 1 1
Direct
0.7500 0.7500 0.7500
0.5000 0.5000 0.5000
0.2500 0.2500 0.2500
0.0000 0.0000 0.0000
```

## Properties
Its total energy is -9.40 eV per cell. The density of states at the Fermi level is 0.88 states/eV per cell. The value obtained for the calculated volume is 19.45 Å³ per atom. Its space-group type is F-43m (216). The calculation puts the formation energy from the elements at -0.159 eV/atom.